Material: Np3Tl4CuO12
Method: DFT, PBE
State: optimized geometry

Output
Crystal system: cubic
Final energy: -7.5225 eV/atom
ΔE_f (raw): -1.928 eV/atom
Magnetization: 0.117 μB/atom
N(E_F): 16.8 states/eV/cell

Cell and atoms, written as CIF:
```
data_Np3Tl4CuO12
_cell_length_a 7.473
_cell_length_b 7.473
_cell_length_c 7.473
_cell_angle_alpha 109.47
_cell_angle_beta 109.47
_cell_angle_gamma 109.47
_space_group_name_H-M_alt 'P 1'
_space_group_IT_number 1
loop_
_space_group_symop_operation_xyz
'x,y,z'
loop_
_atom_site_label
_atom_site_type_symbol
_atom_site_fract_x
_atom_site_fract_y
_atom_site_fract_z
Np1 Np 0.500 0.000 0.500
Np2 Np 0.500 0.500 0.000
Np3 Np 0.000 0.500 0.500
Tl1 Tl 0.500 0.500 0.500
Tl2 Tl 0.000 0.000 0.500
Tl3 Tl 0.500 0.000 0.000
Tl4 Tl 0.000 0.500 0.000
Cu1 Cu 0.000 0.000 0.000
O1 O 0.250 0.500 0.750
O2 O 0.723 0.000 0.723
O3 O 0.277 0.000 0.277
O4 O 0.750 0.500 0.250
O5 O 0.723 0.723 0.000
O6 O 0.277 0.277 0.000
O7 O 0.750 0.250 0.500
O8 O 0.250 0.750 0.500
O9 O 0.500 0.250 0.750
O10 O 0.000 0.723 0.723
O11 O 0.500 0.750 0.250
O12 O 0.000 0.277 0.277
```


Material: Cd5Mo
Method: DFT, PBE
State: optimized geometry

Output
Crystal system: monoclinic
Final energy: -2.3244 eV/atom
Formation enthalpy at 0 K: 243 meV/atom
Magnetization: 0.000 μB/atom
N(E_F): 3.7 states/eV/cell
Energy above the most stable polymorph in this dataset: 0.0 meV/atom

Cell and atoms, written as CIF:
```
data_Cd5Mo
_cell_length_a 5.856
_cell_length_b 5.856
_cell_length_c 7.467
_cell_angle_alpha 74.90
_cell_angle_beta 74.90
_cell_angle_gamma 29.52
_space_group_name_H-M_alt 'P 1'
_space_group_IT_number 1
loop_
_space_group_symop_operation_xyz
'x,y,z'
loop_
_atom_site_label
_atom_site_type_symbol
_atom_site_fract_x
_atom_site_fract_y
_atom_site_fract_z
Cd1 Cd 0.998 0.998 0.991
Cd2 Cd 0.611 0.611 0.271
Cd3 Cd 0.331 0.331 0.321
Cd4 Cd 0.943 0.943 0.617
Cd5 Cd 0.677 0.677 0.681
Mo1 Mo 0.274 0.274 0.954
```


Material: LiAcAgPt
Method: DFT, PBE
State: optimized geometry

Output
Crystal system: cubic
Final energy: -4.1718 eV/atom
Formation enthalpy at 0 K: -443 meV/atom
Magnetization: 0.000 μB/atom
N(E_F): 2.9 states/eV/cell

Cell and atoms, written as CIF:
```
data_LiAcAgPt
_cell_length_a 5.128
_cell_length_b 5.128
_cell_length_c 5.128
_cell_angle_alpha 60.00
_cell_angle_beta 60.00
_cell_angle_gamma 60.00
_space_group_name_H-M_alt 'P 1'
_space_group_IT_number 1
loop_
_space_group_symop_operation_xyz
'x,y,z'
loop_
_atom_site_label
_atom_site_type_symbol
_atom_site_fract_x
_atom_site_fract_y
_atom_site_fract_z
Ac1 Ac 0.500 0.500 0.500
Ag1 Ag 0.250 0.250 0.250
Pt1 Pt 0.750 0.750 0.750
Li1 Li 0.000 0.000 0.000
```